Material: CeTh2Hg
Method: DFT, PBE
State: relaxed

The density is 11.2 g/cm³. Its formation enthalpy at 0 K is 0.00 eV/atom. Its density of states at the Fermi level is 6.00 states/eV/f.u. The distance to the lowest polymorph of the same formula is 82 meV/atom.

The structure belongs to space group R3m (No. 160, hexagonal axes); the cell edges are 3.5305, 3.5305 and 33.2563 Å and the angles 90.00°, 90.00° and 120.00°. The asymmetric unit holds Ce at (0.0000, 0.0000, 0.0000), Th at (0.0000, 0.0000, 0.2470), Th at (0.0000, 0.0000, 0.4200) and Hg at (0.0000, 0.0000, 0.8335).